# 1
Pr2Re3Si5: relaxed, PBE.

a b c (Å): 11.0500 11.0500 5.7635
angles (deg): 90.00 90.00 90.00
With the nearest neighbours (Å) after each atom.
Fractional positions:
Pr: 0.0772 0.2363 0.0000  7 Si 2.90-3.21, 2 Re 3.23
Pr: 0.2363 0.9228 0.0000  7 Si 2.90-3.21, 2 Re 3.23
Pr: 0.2637 0.4228 0.5000  7 Si 2.90-3.21, 2 Re 3.23
Pr: 0.4228 0.7363 0.5000  7 Si 2.90-3.21, 2 Re 3.23
Pr: 0.5772 0.2637 0.5000  7 Si 2.90-3.21, 2 Re 3.23
Pr: 0.7363 0.5772 0.5000  7 Si 2.90-3.21, 2 Re 3.23
Pr: 0.7637 0.0772 0.0000  7 Si 2.90-3.21, 2 Re 3.23
Pr: 0.9228 0.7637 0.0000  7 Si 2.90-3.21, 2 Re 3.23
Re: 0.0000 0.5000 0.2500  6 Si 2.50-2.68
Re: 0.0000 0.5000 0.7500  6 Si 2.50-2.68
Re: 0.1251 0.8513 0.5000  6 Si 2.48-2.53
Re: 0.1487 0.1251 0.5000  6 Si 2.48-2.53
Re: 0.3513 0.6251 0.0000  6 Si 2.48-2.53
Re: 0.3749 0.3513 0.0000  6 Si 2.48-2.53
Re: 0.5000 0.0000 0.2500  6 Si 2.50-2.68
Re: 0.5000 0.0000 0.7500  6 Si 2.50-2.68
Re: 0.6251 0.6487 0.0000  6 Si 2.48-2.53
Re: 0.6487 0.3749 0.0000  6 Si 2.48-2.53
Re: 0.8513 0.8749 0.5000  6 Si 2.48-2.53
Re: 0.8749 0.1487 0.5000  6 Si 2.48-2.53
Si: 0.0000 0.0000 0.2664  4 Re 2.53, 1 Si 2.69
Si: 0.0000 0.0000 0.7336  4 Re 2.53, 1 Si 2.69
Si: 0.0235 0.3169 0.5000  4 Re 2.48-2.53, 2 Si 2.59
Si: 0.1713 0.6713 0.2500  3 Re 2.51-2.68, 2 Si 2.59
Si: 0.1713 0.6713 0.7500  3 Re 2.51-2.68, 2 Si 2.59
Si: 0.1831 0.4765 0.0000  4 Re 2.48-2.53, 2 Si 2.59
Si: 0.3169 0.9765 0.5000  4 Re 2.48-2.53, 2 Si 2.59
Si: 0.3287 0.1713 0.2500  3 Re 2.51-2.68, 2 Si 2.59
Si: 0.3287 0.1713 0.7500  3 Re 2.51-2.68, 2 Si 2.59
Si: 0.4765 0.8169 0.0000  4 Re 2.48-2.53, 2 Si 2.59
Si: 0.5000 0.5000 0.2336  4 Re 2.53, 1 Si 2.69
Si: 0.5000 0.5000 0.7664  4 Re 2.53, 1 Si 2.69
Si: 0.5235 0.1831 0.0000  4 Re 2.48-2.53, 2 Si 2.59
Si: 0.6713 0.8287 0.2500  3 Re 2.51-2.68, 2 Si 2.59
Si: 0.6713 0.8287 0.7500  3 Re 2.51-2.68, 2 Si 2.59
Si: 0.6831 0.0235 0.5000  4 Re 2.48-2.53, 2 Si 2.59
Si: 0.8169 0.5235 0.0000  4 Re 2.48-2.53, 2 Si 2.59
Si: 0.8287 0.3287 0.2500  3 Re 2.51-2.68, 2 Si 2.59
Si: 0.8287 0.3287 0.7500  3 Re 2.51-2.68, 2 Si 2.59
Si: 0.9765 0.6831 0.5000  4 Re 2.48-2.53, 2 Si 2.59

=====

# 2
Lu4TlFeC2: relaxed, PBE.

a b c (Å): 3.4885 3.4885 14.9412
angles (deg): 90.00 90.00 120.00
With the nearest neighbours (Å) after each atom.
Fractional positions:
Lu: 0.0000 0.0000 0.1419  3 C 2.42
Lu: 0.0000 0.0000 0.8581  3 C 2.42
Lu: 0.3333 0.6667 0.3175  3 C 2.39
Lu: 0.3333 0.6667 0.6825  3 C 2.39
Tl: 0.0000 0.0000 0.5000  6 Lu 3.39, 6 Tl 3.49
Fe: 0.3333 0.6667 0.0000  6 Lu 2.92
C: 0.6667 0.3333 0.2318  6 Lu 2.39-2.42
C: 0.6667 0.3333 0.7682  6 Lu 2.39-2.42

=====

# 3
YTmI2O2: relaxed, PBE.

a b c (Å): 3.9050 3.9050 9.2791
angles (deg): 90.00 90.00 90.00
With the nearest neighbours (Å) after each atom.
Fractional positions:
Y: 0.0000 0.0000 0.0000  4 O 2.25
Tm: 0.5000 0.5000 0.2331  4 O 2.22
I: 0.0000 0.0000 0.4383  4 Tm 3.35, 4 O 3.54
I: 0.5000 0.5000 0.7946  4 Y 3.36, 4 O 3.60
O: 0.0000 0.5000 0.1204  2 Tm 2.22, 2 Y 2.25
O: 0.5000 0.0000 0.1204  2 Tm 2.22, 2 Y 2.25

=====

| no. | magnetization (μB/f.u.) | E (eV/atom) |
| --- | --- | --- |
| 1 | 0.00 | -7.9321 |
| 2 | 1.97 | -6.0926 |
| 3 | 0.00 | -6.7005 |